1.
A plane-wave DFT calculation with PBE was carried out for a relaxed K2PtF4 crystal.

Values from the calculation:
energy relative to the lowest polymorph listed for this composition: 0.0 meV/atom
space group: P4/mmm (123)
energy relative to the elements, uncorrected: -2112 meV/atom

Lattice parameters (Å, degrees): 6.1466 6.1466 3.6103 90.00 90.00 90.00
Closest atoms and distances in Å follow each position.
Fractional coordinates of all 7 atoms:
K  0.0000  0.5000  0.0000  8 F 2.83
K  0.5000  0.0000  0.0000  8 F 2.83
Pt  0.0000  0.0000  0.5000  4 F 2.01
F  0.2313  0.2313  0.5000  1 Pt 2.01
F  0.2313  0.7687  0.5000  1 Pt 2.01
F  0.7687  0.2313  0.5000  1 Pt 2.01
F  0.7687  0.7687  0.5000  1 Pt 2.01


2.
A plane-wave DFT calculation with PBE was carried out for a relaxed NiAsOs2W crystal.

Values from the calculation:
energy of formation from the pure elements: 1.552 eV/atom
space group: P4/mmm (123)

Lattice parameters (Å, degrees): 4.5045 4.5045 4.2252 90.00 90.00 90.00
Closest atoms and distances in Å follow each position.
Fractional coordinates of all 5 atoms:
Ni  0.0000  0.0000  0.0000  2 As 2.11
As  0.0000  0.0000  0.5000  2 Ni 2.11, 4 Os 2.25
Os  0.0000  0.5000  0.5000  2 As 2.25
Os  0.5000  0.0000  0.5000  2 As 2.25
W  0.5000  0.5000  0.0000  8 Os 3.09, 4 Ni 3.19


3.
A plane-wave DFT calculation with PBE was carried out for a relaxed TiSbTe2N crystal.

Values from the calculation:
energy relative to the lowest polymorph listed for this composition: 0.0 meV/atom
space group: P4/mmm (123)
energy relative to the elements, uncorrected: -15 meV/atom

Lattice parameters (Å, degrees): 5.5836 5.5836 3.7729 90.00 90.00 90.00
Closest atoms and distances in Å follow each position.
Fractional coordinates of all 5 atoms:
Ti  0.0000  0.0000  0.0000  2 N 1.89
Sb  0.5000  0.5000  0.5000  8 Te 3.37, 2 Sb 3.77
Te  0.0000  0.5000  0.0000  2 Ti 2.79
Te  0.5000  0.0000  0.0000  2 Ti 2.79
N  0.0000  0.0000  0.5000  2 Ti 1.89


4.
A plane-wave DFT calculation with PBE was carried out for a relaxed Na5ZnP2 crystal.

Values from the calculation:
energy of formation from the pure elements: -0.272 eV/atom
space group: P6_3/mmc (194)

Lattice parameters (Å, degrees): 5.0476 5.0476 17.2414 90.00 90.00 120.00
Closest atoms and distances in Å follow each position.
Fractional coordinates of all 16 atoms:
Na  0.0000  0.0000  0.1388  3 P 2.94, 3 Na 3.28
Na  0.0000  0.0000  0.3612  3 P 2.94, 3 Na 3.28
Na  0.0000  0.0000  0.6388  3 P 2.94, 3 Na 3.28
Na  0.0000  0.0000  0.8612  3 P 2.94, 3 Na 3.28
Na  0.3333  0.6667  0.0510  4 P 2.91-3.13
Na  0.3333  0.6667  0.2500  3 Zn 2.91
Na  0.3333  0.6667  0.4490  4 P 2.91-3.13
Na  0.6667  0.3333  0.5510  4 P 2.91-3.13
Na  0.6667  0.3333  0.7500  3 Zn 2.91
Na  0.6667  0.3333  0.9490  4 P 2.91-3.13
Zn  0.3333  0.6667  0.7500  2 P 2.28
Zn  0.6667  0.3333  0.2500  2 P 2.28
P  0.3333  0.6667  0.6179  1 Zn 2.28
P  0.3333  0.6667  0.8821  1 Zn 2.28
P  0.6667  0.3333  0.1179  1 Zn 2.28
P  0.6667  0.3333  0.3821  1 Zn 2.28